CaSb2 | PBE | relaxed

Lattice parameters (Å, degrees): 4.4805 8.0892 5.7115 90.00 90.00 90.00
Closest atoms and distances in Å follow each position.
Fractional coordinates of all 6 atoms:
Ca1 0.0000 0.0000 0.0000  6 Sb 3.21-3.30
Ca2 0.5000 0.5000 0.5000  6 Sb 3.21-3.30
Sb1 0.2455 0.3846 0.0000  2 Sb 2.89-2.95, 2 Ca 3.21
Sb2 0.2545 0.8846 0.5000  2 Sb 2.89-2.95, 2 Ca 3.21
Sb3 0.7455 0.1154 0.5000  2 Sb 2.89-2.95, 2 Ca 3.21
Sb4 0.7545 0.6155 0.0000  2 Sb 2.89-2.95, 2 Ca 3.21

Crystal system: orthorhombic

CsK10Na4 | PBE | relaxed

Lattice parameters (Å, degrees): 11.9013 11.9013 11.9013 98.70 98.70 134.22
Closest atoms and distances in Å follow each position.
Fractional coordinates of all 15 atoms:
Cs1 0.0000 0.0000 0.0000  8 K 4.61
K1 0.0312 0.3690 0.8805  3 Na 3.96-4.12, 1 K 4.42
K2 0.1507 0.0312 0.6622  3 Na 3.96-4.12, 1 K 4.42
K3 0.2500 0.7500 0.5000  4 Na 4.28, 6 K 4.54-4.63
K4 0.3690 0.4885 0.3378  3 Na 3.96-4.12, 1 K 4.42
K5 0.4885 0.1507 0.1195  3 Na 3.96-4.12, 1 K 4.42
K6 0.5115 0.8493 0.8805  3 Na 3.96-4.12, 1 K 4.42
K7 0.6310 0.5115 0.6622  3 Na 3.96-4.12, 1 K 4.42
K8 0.7500 0.2500 0.5000  4 Na 4.28, 6 K 4.54-4.63
K9 0.8493 0.9688 0.3378  3 Na 3.96-4.12, 1 K 4.42
K10 0.9688 0.6310 0.1195  3 Na 3.96-4.12, 1 K 4.42
Na1 0.2120 0.4061 0.6181  8 K 3.96-4.28
Na2 0.4061 0.7880 0.1941  8 K 3.96-4.28
Na3 0.5939 0.2120 0.8059  8 K 3.96-4.28
Na4 0.7880 0.5939 0.3819  8 K 3.96-4.28

Crystal system: tetragonal

NbCo2Ir | PBE | relaxed

Lattice parameters (Å, degrees): 3.7724 3.7724 3.7164 90.00 90.00 90.00
Closest atoms and distances in Å follow each position.
Fractional coordinates of all 4 atoms:
Nb1 0.0000 0.0000 0.0000  8 Co 2.65, 4 Ir 2.67
Co1 0.0000 0.5000 0.5000  4 Nb 2.65, 4 Ir 2.65, 4 Co 2.67
Co2 0.5000 0.0000 0.5000  4 Nb 2.65, 4 Ir 2.65, 4 Co 2.67
Ir1 0.5000 0.5000 0.0000  8 Co 2.65, 4 Nb 2.67

Crystal system: tetragonal
Relative energy among the computed polymorphs: 0 meV per atom

Bi8Pb3 | PBE | relaxed

Lattice parameters (Å, degrees): 21.3559 21.3559 21.3559 12.50 12.50 12.50
Closest atoms and distances in Å follow each position.
Fractional coordinates of all 11 atoms:
Bi1 0.0490 0.0490 0.0490  3 Bi 3.13
Bi2 0.1362 0.1362 0.1362  6 Pb 3.14-3.31
Bi3 0.3207 0.3207 0.3207  3 Bi 3.13
Bi4 0.4075 0.4075 0.4075  3 Bi 3.13
Bi5 0.5925 0.5925 0.5925  3 Bi 3.13
Bi6 0.6793 0.6793 0.6793  3 Bi 3.13
Bi7 0.8638 0.8638 0.8638  6 Pb 3.14-3.31
Bi8 0.9510 0.9510 0.9510  3 Bi 3.13
Pb1 0.2229 0.2229 0.2229  3 Bi 3.14
Pb2 0.5000 0.5000 0.5000  6 Bi 3.31
Pb3 0.7771 0.7771 0.7771  3 Bi 3.14

Crystal system: trigonal

Calculated VASP energy, -3.83, -1.03, -8.59, -3.80 eV/atom (same order as the records).